Record 1
Density functional theory data (PBE) for Ga2PH6 after structural relaxation.

Cell lengths 5.113, 5.113, 5.113 Å; angles 60.00, 60.00, 60.00 degrees
Element x y z (fractional)
Ga 0.250 0.250 0.250
Ga 0.750 0.750 0.750
P 0.000 0.000 0.000
H 0.212 0.212 0.788
H 0.212 0.788 0.212
H 0.212 0.788 0.788
H 0.788 0.212 0.212
H 0.788 0.212 0.788
H 0.788 0.788 0.212

Calculated values
Symmetry = No. 225
N(E_F) = 2.515 states/eV/f.u.
V = 10.5 Å³ per atom
Electronic total energy = -28.18 eV for the cell shown

Record 2
Density functional theory data (PBE) for NaSbS3 after structural relaxation.

Cell lengths 4.862, 4.862, 4.862 Å; angles 90.00, 90.00, 90.00 degrees
Element x y z (fractional)
Na 0.000 0.000 0.000
Sb 0.500 0.500 0.500
S 0.000 0.000 0.500
S 0.000 0.500 0.000
S 0.500 0.000 0.000

Calculated values
Symmetry = No. 221
N(E_F) = 4.842 states/eV/f.u.
E_form (uncorrected) = 0.75 eV per atom
V = 23.0 Å³ per atom
Offset from the most stable computed form = 1.201 eV per atom
Electronic total energy = -14.06 eV for the cell shown

> Among the records above, which one has the lowest V?

Ga2PH6

> What is the electronic total energy in the first record?

-28.18 eV for the cell shown

> Which of these has the highest electronic total energy?

NaSbS3

> electronic total energy of number 2 (NaSbS3)?

-14.06 eV for the cell shown